--- w ---
Density functional theory data (meta-GGA SCAN) for a crystal of Mg3Tl5 relaxed with PBEsol.

Summary:
Size of the total moment, μB per cell: 0.00

a = 6.2250 Å, b = 8.7169 Å, c = 8.7169 Å
α = 120.00°, β = 90.00°, γ = 90.00°
Positions (direct):
Mg  0.7500  0.4046  0.4046
Mg  0.2500  0.5954  0.5954
Mg  0.7500  0.0000  0.5954
Mg  0.7500  0.5954  0.0000
Mg  0.2500  0.4046  0.0000
Mg  0.2500  0.0000  0.4046
Tl  0.0000  0.6667  0.3333
Tl  0.5000  0.3333  0.6667
Tl  0.0000  0.3333  0.6667
Tl  0.5000  0.6667  0.3333
Tl  0.7500  0.7704  0.7704
Tl  0.2500  0.2296  0.2296
Tl  0.7500  0.0000  0.2296
Tl  0.7500  0.2296  0.0000
Tl  0.2500  0.7704  0.0000
Tl  0.2500  0.0000  0.7704


--- x ---
Density functional theory data (meta-GGA SCAN) for a crystal of Mg3Tl5 relaxed with PBEsol.

Summary:
Size of the total moment, μB per cell: 0.00

a = 6.0811 Å, b = 8.7287 Å, c = 8.7287 Å
α = 83.03°, β = 69.61°, γ = 69.61°
Positions (direct):
Mg  0.7500  0.0000  0.0000
Mg  0.2500  0.0000  0.0000
Mg  0.3272  0.5000  0.8456
Mg  0.6728  0.5000  0.1544
Mg  0.8272  0.8456  0.5000
Mg  0.1728  0.1544  0.5000
Tl  0.7500  0.5000  0.5000
Tl  0.2500  0.5000  0.5000
Tl  0.4285  0.8447  0.2983
Tl  0.5715  0.1553  0.7017
Tl  0.9285  0.2983  0.8447
Tl  0.0715  0.7017  0.1553
Tl  0.2268  0.8447  0.7017
Tl  0.7732  0.1553  0.2983
Tl  0.2732  0.2983  0.1553
Tl  0.7268  0.7017  0.8447


Which of them is most stable, and which least? Most stable: w; least stable: x.


--- w ---
Density functional theory data (meta-GGA SCAN) for a crystal of Mg2TlW relaxed with PBEsol.

Summary:
Size of the total moment, μB per cell: 0.00

a = 2.9033 Å, b = 2.9033 Å, c = 9.4156 Å
α = 90.00°, β = 90.00°, γ = 96.57°
Positions (direct):
Mg  0.0000  0.0000  0.2229
Mg  0.0000  0.0000  0.7771
Tl  0.5000  0.5000  0.5000
W  0.5000  0.5000  0.0000


--- x ---
Density functional theory data (meta-GGA SCAN) for a crystal of Mg2TlW relaxed with PBEsol.

Summary:
Size of the total moment, μB per cell: 0.87

a = 4.0500 Å, b = 4.0500 Å, c = 5.4437 Å
α = 111.84°, β = 111.84°, γ = 90.00°
Each line ends with the local moment (μB).
Positions (direct):
Mg  0.7500  0.2500  0.5000  0.01
Mg  0.2500  0.7500  0.5000  0.01
Tl  0.5000  0.5000  0.0000  -0.01
W  0.0000  0.0000  0.0000  0.52


--- y ---
Density functional theory data (meta-GGA SCAN) for a crystal of Mg2TlW relaxed with PBEsol.

Summary:
Size of the total moment, μB per cell: 0.00

a = 4.0332 Å, b = 4.0332 Å, c = 5.3658 Å
α = 112.08°, β = 112.08°, γ = 90.00°
Positions (direct):
Mg  0.0000  0.0000  0.0000
Mg  0.7500  0.2500  0.5000
Tl  0.5000  0.5000  0.0000
W  0.2500  0.7500  0.5000


--- z ---
Density functional theory data (meta-GGA SCAN) for a crystal of Mg2TlW relaxed with PBEsol.

Summary:
Size of the total moment, μB per cell: 0.00

a = 3.0435 Å, b = 3.0435 Å, c = 9.9801 Å
α = 81.23°, β = 81.23°, γ = 60.00°
Positions (direct):
Mg  0.9956  0.9956  0.0131
Mg  0.7499  0.7499  0.7504
Tl  0.5029  0.5029  0.4914
W  0.2516  0.2516  0.2451


Which of them is most stable, and which least? Most stable: w; least stable: x.


--- w ---
Density functional theory data (meta-GGA SCAN) for a crystal of YMg2Tl relaxed with PBEsol.

Summary:
Size of the total moment, μB per cell: 0.28

a = 3.8214 Å, b = 5.0191 Å, c = 6.1309 Å
α = 114.47°, β = 108.16°, γ = 90.00°
Each line ends with the local moment (μB).
Positions (direct):
Mg  0.2644  0.2644  0.5289  0.00
Mg  0.7356  0.7356  0.4711  0.00
Tl  0.0000  0.5000  0.0000  -0.01
Y  0.5000  0.0000  0.0000  -0.13


--- x ---
Density functional theory data (meta-GGA SCAN) for a crystal of YMg2Tl relaxed with PBEsol.

Summary:
Size of the total moment, μB per cell: 0.00

a = 5.1391 Å, b = 5.1298 Å, c = 5.1391 Å
α = 59.94°, β = 90.00°, γ = 120.06°
Positions (direct):
Mg  0.5000  0.0000  0.5000
Mg  0.2500  0.5000  0.2500
Tl  0.0000  0.0000  0.0000
Y  0.7500  0.5000  0.7500


--- y ---
Density functional theory data (meta-GGA SCAN) for a crystal of YMg2Tl relaxed with PBEsol.

Summary:
Size of the total moment, μB per cell: 0.00

a = 3.3842 Å, b = 4.7194 Å, c = 6.4385 Å
α = 90.00°, β = 105.39°, γ = 90.00°
Positions (direct):
Mg  0.9543  0.0000  0.0330
Mg  0.5545  0.5000  0.2354
Tl  0.6936  0.0000  0.5122
Y  0.2976  0.5000  0.7194


Which of them is most stable, and which least? Most stable: x; least stable: w.


--- w ---
Density functional theory data (meta-GGA SCAN) for a crystal of MgTl2Zn relaxed with PBEsol.

Summary:
Size of the total moment, μB per cell: 0.00

a = 3.7660 Å, b = 5.2714 Å, c = 5.7094 Å
α = 117.49°, β = 109.26°, γ = 90.00°
Positions (direct):
Mg  0.0000  0.5000  0.0000
Tl  0.7676  0.7676  0.5351
Tl  0.2324  0.2324  0.4649
Zn  0.5000  0.0000  0.0000


--- x ---
Density functional theory data (meta-GGA SCAN) for a crystal of MgTl2Zn relaxed with PBEsol.

Summary:
Size of the total moment, μB per cell: 0.00

a = 3.4272 Å, b = 5.2734 Å, c = 5.5234 Å
α = 102.71°, β = 90.00°, γ = 108.96°
Positions (direct):
Mg  0.5000  0.0000  0.0000
Tl  0.7411  0.4822  0.7409
Tl  0.2589  0.5178  0.2591
Zn  0.0000  0.0000  0.5000


--- y ---
Density functional theory data (meta-GGA SCAN) for a crystal of MgTl2Zn relaxed with PBEsol.

Summary:
Size of the total moment, μB per cell: 0.00

a = 3.4537 Å, b = 3.4537 Å, c = 9.1060 Å
α = 79.07°, β = 79.07°, γ = 60.00°
Positions (direct):
Mg  0.0000  0.0000  0.0000
Tl  0.2451  0.2451  0.2646
Tl  0.7549  0.7549  0.7354
Zn  0.5000  0.5000  0.5000


Which of them is most stable, and which least? Most stable: y; least stable: w.


--- w ---
Density functional theory data (meta-GGA SCAN) for a crystal of Tm3Mg relaxed with PBEsol.

Summary:
Size of the total moment, μB per cell: 0.04

a = 3.4385 Å, b = 3.4385 Å, c = 9.1843 Å
α = 90.00°, β = 90.00°, γ = 90.00°
Positions (direct):
Mg  0.0000  0.0000  0.0000
Tm  0.5000  0.5000  0.7562
Tm  0.0000  0.0000  0.5000
Tm  0.5000  0.5000  0.2438


--- x ---
Density functional theory data (meta-GGA SCAN) for a crystal of Tm3Mg relaxed with PBEsol.

Summary:
Size of the total moment, μB per cell: 0.18

a = 5.3971 Å, b = 6.8103 Å, c = 6.8103 Å
α = 120.00°, β = 90.00°, γ = 90.00°
Positions (direct):
Mg  0.2500  0.6667  0.3333
Mg  0.7500  0.3333  0.6667
Tm  0.2500  0.6624  0.8312
Tm  0.2500  0.1688  0.8312
Tm  0.2500  0.1688  0.3376
Tm  0.7500  0.8312  0.6624
Tm  0.7500  0.8312  0.1688
Tm  0.7500  0.3376  0.1688


Which of them is most stable, and which least? Most stable: w; least stable: x.


--- w ---
Density functional theory data (meta-GGA SCAN) for a crystal of MgW relaxed with PBEsol.

Summary:
Size of the total moment, μB per cell: 0.00

a = 2.7434 Å, b = 4.4660 Å, c = 5.6322 Å
α = 90.00°, β = 99.82°, γ = 90.00°
Positions (direct):
Mg  0.8788  0.2500  0.6285
Mg  0.1212  0.7500  0.3715
W  0.5951  0.7500  0.8953
W  0.4049  0.2500  0.1047


--- x ---
Density functional theory data (meta-GGA SCAN) for a crystal of MgW relaxed with PBEsol.

Summary:
Size of the total moment, μB per cell: 4.22

a = 4.5268 Å, b = 4.5268 Å, c = 4.5268 Å
α = 60.00°, β = 60.00°, γ = 60.00°
Each line ends with the local moment (μB).
Positions (direct):
Mg  0.7500  0.7500  0.7500  0.03
W  0.0000  0.0000  0.0000  3.05


Which of them is most stable, and which least? Most stable: w; least stable: x.


--- w ---
Density functional theory data (meta-GGA SCAN) for a crystal of MgW4 relaxed with PBEsol.

Summary:
Size of the total moment, μB per cell: 0.00

a = 4.1974 Å, b = 4.1974 Å, c = 6.2602 Å
α = 109.59°, β = 109.59°, γ = 90.00°
Positions (direct):
Mg  0.0000  0.0000  0.0000
W  0.7500  0.2500  0.5000
W  0.3823  0.3823  0.7645
W  0.6177  0.6177  0.2355
W  0.2500  0.7500  0.5000


--- x ---
Density functional theory data (meta-GGA SCAN) for a crystal of MgW4 relaxed with PBEsol.

Summary:
Size of the total moment, μB per cell: 0.00

a = 4.9122 Å, b = 4.9122 Å, c = 4.9122 Å
α = 109.47°, β = 109.47°, γ = 109.47°
Positions (direct):
Mg  0.0000  0.0000  0.0000
W  0.0000  0.0000  0.5000
W  0.0000  0.5000  0.0000
W  0.5000  0.0000  0.0000
W  0.5000  0.5000  0.5000


Which of them is most stable, and which least? Most stable: w; least stable: x.


--- w ---
Density functional theory data (meta-GGA SCAN) for a crystal of MgZnW2 relaxed with PBEsol.

Summary:
Size of the total moment, μB per cell: 0.00

a = 2.7269 Å, b = 2.7269 Å, c = 9.0173 Å
α = 90.00°, β = 90.00°, γ = 108.31°
Positions (direct):
Mg  0.5000  0.5000  0.2530
W  0.0000  0.0000  0.9912
W  0.5000  0.5000  0.7483
Zn  0.0000  0.0000  0.5075


--- x ---
Density functional theory data (meta-GGA SCAN) for a crystal of MgZnW2 relaxed with PBEsol.

Summary:
Size of the total moment, μB per cell: 0.00

a = 2.6591 Å, b = 4.2251 Å, c = 5.6786 Å
α = 90.00°, β = 90.00°, γ = 90.00°
Positions (direct):
Mg  0.5000  0.5000  0.7362
W  0.0000  0.0000  0.0192
W  0.5000  0.5000  0.2366
Zn  0.0000  0.0000  0.5079


--- y ---
Density functional theory data (meta-GGA SCAN) for a crystal of MgZnW2 relaxed with PBEsol.

Summary:
Size of the total moment, μB per cell: 0.00

a = 2.6695 Å, b = 4.3943 Å, c = 5.3271 Å
α = 90.00°, β = 90.00°, γ = 90.00°
Positions (direct):
Mg  0.5000  0.5000  0.5000
W  0.0000  0.0000  0.7475
W  0.0000  0.0000  0.2525
Zn  0.5000  0.5000  0.0000


Which of them is most stable, and which least? Most stable: w; least stable: y.


--- w ---
Density functional theory data (meta-GGA SCAN) for a crystal of Y4Mg3 relaxed with PBEsol.

Summary:
Size of the total moment, μB per cell: 1.93

a = 3.4409 Å, b = 3.4409 Å, c = 16.3945 Å
α = 96.02°, β = 96.02°, γ = 90.00°
Each line ends with the local moment (μB).
Positions (direct):
Y  0.1475  0.1475  0.2949  -0.29
Y  0.8525  0.8525  0.7051  -0.29
Y  0.4300  0.4300  0.8601  -0.34
Y  0.5700  0.5700  0.1399  -0.34
Mg  0.0000  0.0000  0.0000  -0.01
Mg  0.2804  0.2804  0.5608  -0.01
Mg  0.7196  0.7196  0.4392  -0.01


--- x ---
Density functional theory data (meta-GGA SCAN) for a crystal of Y4Mg3 relaxed with PBEsol.

Summary:
Size of the total moment, μB per cell: 0.97

a = 5.9454 Å, b = 5.9454 Å, c = 6.3331 Å
α = 90.00°, β = 90.00°, γ = 120.00°
Each line ends with the local moment (μB).
Positions (direct):
Y  0.0000  0.0000  0.7456  0.14
Y  0.0000  0.0000  0.2544  0.14
Y  0.3333  0.6667  0.5000  0.10
Y  0.6667  0.3333  0.5000  0.10
Mg  0.0000  0.5000  0.0000  0.01
Mg  0.5000  0.0000  0.0000  0.01
Mg  0.5000  0.5000  0.0000  0.01


Which of them is most stable, and which least? Most stable: w; least stable: x.


--- w ---
Density functional theory data (meta-GGA SCAN) for a crystal of YMgZn relaxed with PBEsol.

Summary:
Size of the total moment, μB per cell: 0.24

a = 3.3774 Å, b = 4.7589 Å, c = 4.7589 Å
α = 120.00°, β = 90.00°, γ = 90.00°
Each line ends with the local moment (μB).
Positions (direct):
Y  0.0000  0.3333  0.6667  0.16
Zn  0.5000  0.6667  0.3333  0.00
Mg  0.5000  0.0000  0.0000  0.00


--- x ---
Density functional theory data (meta-GGA SCAN) for a crystal of YMgZn relaxed with PBEsol.

Summary:
Size of the total moment, μB per cell: 0.00

a = 4.1293 Å, b = 7.4386 Å, c = 7.4386 Å
α = 120.00°, β = 90.00°, γ = 90.00°
Positions (direct):
Mg  0.5000  0.7534  0.7534
Mg  0.5000  0.0000  0.2466
Mg  0.5000  0.2466  0.0000
Y  0.0000  0.4117  0.4117
Y  0.0000  0.0000  0.5883
Y  0.0000  0.5883  0.0000
Zn  0.5000  0.6667  0.3333
Zn  0.5000  0.3333  0.6667
Zn  0.0000  0.0000  0.0000


Which of them is most stable, and which least? Most stable: x; least stable: w.


--- w ---
Density functional theory data (meta-GGA SCAN) for a crystal of Mg3Zn2 relaxed with PBEsol.

Summary:
Size of the total moment, μB per cell: 0.04

a = 3.0971 Å, b = 3.0971 Å, c = 11.5771 Å
α = 82.31°, β = 82.31°, γ = 60.00°
Positions (direct):
Zn  0.3978  0.3978  0.8065
Zn  0.6022  0.6022  0.1935
Mg  0.0000  0.0000  0.0000
Mg  0.2046  0.2046  0.3862
Mg  0.7954  0.7954  0.6138


--- x ---
Density functional theory data (meta-GGA SCAN) for a crystal of Mg3Zn2 relaxed with PBEsol.

Summary:
Size of the total moment, μB per cell: 0.00

a = 4.5458 Å, b = 4.5458 Å, c = 5.4583 Å
α = 90.00°, β = 90.00°, γ = 120.00°
Positions (direct):
Zn  0.3333  0.6667  0.8586
Zn  0.6667  0.3333  0.1414
Mg  0.0000  0.0000  0.0000
Mg  0.3333  0.6667  0.3547
Mg  0.6667  0.3333  0.6453


Which of them is most stable, and which least? Most stable: x; least stable: w.